A relaxed K2RbSn2I7 crystal, computed with PBE-GGA.

Results
The raw formation energy comes out at -0.97 eV per atom. The energy is -33.64 eV/cell.

Unit cell a=6.2676 b=6.9880 c=14.7242 alpha=103.73 beta=102.29 gamma=90.00
Closest atoms and distances in Å follow each position.
Sites, in units of the cell vectors:
I1 0.5000 0.4258 0.0000  2 Sn 3.13
Rb1 0.0000 0.1167 0.0000  4 I 3.81-3.92
Sn1 0.6095 0.6296 0.2189  5 I 2.95-3.26
I2 0.4053 0.8440 0.8105  1 Sn 2.95
I3 0.8859 0.3301 0.7719  2 Sn 3.18
I4 0.2738 0.3125 0.5476  1 Sn 3.26, 4 K 3.48-3.51
I5 0.5947 0.0335 0.1895  1 Sn 2.95
K1 0.7194 0.2562 0.4389  5 I 3.48-3.55
Sn2 0.3905 0.4107 0.7811  5 I 2.95-3.26
I6 0.7262 0.7649 0.4524  1 Sn 3.26, 4 K 3.48-3.51
K2 0.2806 0.8174 0.5611  5 I 3.48-3.55
I7 0.1141 0.5582 0.2281  2 Sn 3.18